1.
DFT (PBE) results for Sc2AlRu after structural relaxation.

Properties
The energy of formation from the pure elements is -2.36 eV per formula unit.

Cell lengths 3.3017, 3.3017, 6.6026 Å; angles 90.00, 90.00, 90.00 degrees
Closest atoms and distances in Å follow each position.
Space group P4/mmm (No. 123)
Symmetry-distinct sites (fractional):
1 Sc 0.0000 0.0000 0.2298  4 Ru 2.78, 4 Al 2.94, 1 Sc 3.03
2 Al 0.5000 0.5000 0.5000  8 Sc 2.94
3 Ru 0.5000 0.5000 0.0000  8 Sc 2.78


2.
DFT (PBE) results for Ho5Zn2In after structural relaxation.

Properties
The energy of formation from the pure elements is -2.24 eV per formula unit.

Cell lengths 7.5126, 7.5126, 14.9270 Å; angles 90.00, 90.00, 90.00 degrees
Closest atoms and distances in Å follow each position.
Space group I4/mcm (No. 140)
Symmetry-distinct sites (fractional):
1 Ho 0.0000 0.0000 0.0000  4 Zn 2.98
2 Ho 0.1662 0.3338 0.1469  3 Zn 3.10-3.14, 2 In 3.20
3 Zn 0.1222 0.3778 0.5000  1 Zn 2.60
4 In 0.0000 0.0000 0.2500  8 Ho 3.20


3.
DFT (PBE) results for CsSiTeCSe after structural relaxation.

Properties
Its uncorrected formation energy is 0.0062 eV per atom. The value obtained for the relative energy among the computed polymorphs is 0.000 eV/atom.

Cell lengths 5.8695, 3.2891, 17.5287 Å; angles 90.00, 90.00, 90.00 degrees
Closest atoms and distances in Å follow each position.
Space group Amm2 (No. 38)
Symmetry-distinct sites (fractional):
1 Cs 0.0000 0.0000 0.0000  2 Cs 3.29
2 Si 0.5000 0.0000 0.2847  2 C 1.82
3 Te 0.5000 0.0000 0.6169  1 C 2.15
4 C 0.5000 0.0000 0.7397  2 Si 1.82
5 Se 0.5000 0.0000 0.4124  1 Si 2.24


4.
DFT (PBE) results for CaHo2PuSe4 after structural relaxation.

Properties
Its uncorrected formation energy is -1.7479 eV per atom.

Cell lengths 5.8027, 5.8027, 11.6416 Å; angles 90.00, 90.00, 90.00 degrees
Closest atoms and distances in Å follow each position.
Space group I-4m2 (No. 119)
Symmetry-distinct sites (fractional):
1 Ca 0.0000 0.0000 0.0000  6 Se 2.90-2.93
2 Ho 0.0000 0.0000 0.5000  6 Se 2.89-2.90
3 Ho 0.0000 0.5000 0.2500  6 Se 2.88-2.90
4 Pu 0.0000 0.5000 0.7500  6 Se 2.90-2.95
5 Se 0.0000 0.0000 0.2514  3 Ho 2.89-2.90, 2 Pu 2.90, 1 Ca 2.93
6 Se 0.0000 0.5000 0.0030  3 Ho 2.88-2.90, 2 Ca 2.90, 1 Pu 2.95